Material: TaCd2Os
Method: DFT, PBE-GGA
State: relaxed

Structure (POSCAR):
```
TaCd2Os
1.0
2.730 -4.674 0.000
2.730 4.674 0.000
0.000 0.000 2.842
Ta Cd Os
1 2 1
Cartesian
0.000 0.000 0.000 Ta
1.365 2.337 1.421 Cd
1.365 -2.337 1.421 Cd
2.730 0.000 0.000 Os
```

Computed properties:
Theoretical density: 13.64 g cm⁻³
ΔH_f (0 K): 2.17 eV/f.u.
Space-group type: No. 65
Polymorph energy (0 for the lowest one): 41.2 kJ per mole of atoms
DOS(E_F): 3.37 states/eV per cell
V: 18.13 A^3/atom
Uncorrected energy: -5.687 eV/atom



Material: Tb4HoEr
Method: DFT, PBE-GGA
State: relaxed

Structure (POSCAR):
```
Tb4HoEr
1.0
0.000 4.620 4.620
4.620 0.000 4.620
4.620 4.620 0.000
Tb Ho Er
4 1 1
Cartesian
1.155 1.155 1.155 Tb
3.465 3.465 1.155 Tb
3.465 1.155 3.465 Tb
1.155 3.465 3.465 Tb
4.620 4.620 4.620 Ho
6.930 6.930 6.930 Er
```

Computed properties:
Theoretical density: 8.15 g cm⁻³
ΔH_f (0 K): 1.57 eV/f.u.
Space-group type: No. 216
Polymorph energy (0 for the lowest one): 24.6 kJ per mole of atoms
DOS(E_F): 9.31 states/eV per cell
V: 32.86 A^3/atom
Uncorrected energy: -4.349 eV/atom



Material: Tb3TlS4
Method: DFT, PBE-GGA
State: relaxed

Structure (POSCAR):
```
Tb3TlS4
1.0
3.976 0.000 0.000
-1.988 3.444 0.000
0.000 0.000 27.943
Tb Tl S
6 2 8
Cartesian
0.000 0.000 0.000 Tb
0.000 0.000 13.971 Tb
0.000 2.296 3.179 Tb
0.000 2.296 10.792 Tb
1.988 1.148 17.151 Tb
1.988 1.148 24.764 Tb
0.000 2.296 20.957 Tl
1.988 1.148 6.986 Tl
0.000 0.000 4.694 S
0.000 0.000 9.277 S
0.000 0.000 18.666 S
0.000 0.000 23.248 S
0.000 2.296 15.567 S
0.000 2.296 26.347 S
1.988 1.148 1.595 S
1.988 1.148 12.376 S
```

Computed properties:
Theoretical density: 7.03 g cm⁻³
Uncorrected formation energy: -1737.8 meV/atom
Space-group type: No. 194
DOS(E_F): 7.02 states/eV per cell
V: 23.91 A^3/atom
Uncorrected energy: -5.834 eV/atom



Material: Pm2SnCl
Method: DFT, PBE-GGA
State: relaxed

Structure (POSCAR):
```
Pm2SnCl
1.0
0.000 3.784 3.784
3.784 0.000 3.784
3.784 3.784 0.000
Pm Sn Cl
2 1 1
Cartesian
1.892 1.892 1.892 Pm
5.676 5.676 5.676 Pm
0.000 0.000 0.000 Sn
3.784 3.784 3.784 Cl
```

Computed properties:
Theoretical density: 6.81 g cm⁻³
Uncorrected formation energy: -976.7 meV/atom
Space-group type: No. 225
Polymorph energy (0 for the lowest one): 0.3 kJ per mole of atoms
DOS(E_F): 3.05 states/eV per cell
V: 27.09 A^3/atom
Uncorrected energy: -4.814 eV/atom



Material: Na2Cd2Pb
Method: DFT, PBE-GGA
State: relaxed

Structure (POSCAR):
```
Na2Cd2Pb
1.0
8.398 0.000 0.000
0.000 8.398 0.000
0.000 0.000 3.877
Na Cd Pb
4 4 2
Cartesian
1.463 2.736 0.000 Na
2.736 6.935 0.000 Na
5.662 1.463 0.000 Na
6.935 5.662 0.000 Na
1.044 5.243 1.938 Cd
3.155 1.044 1.938 Cd
5.243 7.353 1.938 Cd
7.353 3.155 1.938 Cd
0.000 0.000 1.938 Pb
4.199 4.199 1.938 Pb
```

Computed properties:
Theoretical density: 5.81 g cm⁻³
ΔH_f (0 K): -0.33 eV/f.u.
Space-group type: No. 127
Polymorph energy (0 for the lowest one): 6.2 kJ per mole of atoms
DOS(E_F): 4.80 states/eV per cell
V: 27.34 A^3/atom
Uncorrected energy: -1.702 eV/atom



Material: YHfAu
Method: DFT, PBE-GGA
State: relaxed

Structure (POSCAR):
```
YHfAu
1.0
5.854 -1.715 0.000
5.854 1.715 0.000
-4.505 0.000 7.030
Y Hf Au
2 2 2
Cartesian
0.000 0.000 0.000 Y
6.908 0.000 2.898 Y
3.023 0.000 0.671 Hf
3.553 0.000 5.107 Hf
-1.712 0.000 2.716 Au
0.049 0.000 5.072 Au
```

Computed properties:
Theoretical density: 10.92 g cm⁻³
ΔH_f (0 K): -1.11 eV/f.u.
Space-group type: No. 8
Polymorph energy (0 for the lowest one): 10.2 kJ per mole of atoms
DOS(E_F): 5.40 states/eV per cell
V: 23.53 A^3/atom
Uncorrected energy: -6.936 eV/atom